Entry 1:
A plane-wave DFT calculation with PBE was carried out for a relaxed structure of PH2RuBr.

a = 3.6002 Å, b = 3.6374 Å, c = 5.8735 Å
α = 97.38°, β = 90.36°, γ = 91.76°
Space group P1 (No. 1)
Unique sites:
P: 0.0000 0.0000 0.0000 (multiplicity 1)
H: 0.4845 0.6562 0.2501 (multiplicity 1)
H: 0.6141 0.3248 0.9726 (multiplicity 1)
Ru: 0.4946 0.1782 0.2120 (multiplicity 1)
Br: 0.0220 0.2565 0.5589 (multiplicity 1)

Results
Polymorph energy (0 for the lowest one): 170 kJ/mol of formula units
ρ: 4.7 g/cm³
Total DFT energy (no corrections): -0.16561 Ha/atom



Entry 2:
A plane-wave DFT calculation with PBE was carried out for a relaxed structure of PH2RuBr.

a = 3.4066 Å, b = 4.7870 Å, c = 4.8105 Å
α = 86.91°, β = 89.76°, γ = 89.94°
Space group P1 (No. 1)
Unique sites:
P: 0.0000 0.0000 0.0000 (multiplicity 1)
H: 0.9997 0.7262 0.1320 (multiplicity 1)
H: 0.9976 0.1472 0.2587 (multiplicity 1)
Ru: 0.5017 0.0687 0.7058 (multiplicity 1)
Br: 0.5015 0.5754 0.5784 (multiplicity 1)

Results
Polymorph energy (0 for the lowest one): 115 kJ/mol of formula units
ρ: 4.5 g/cm³
Total DFT energy (no corrections): -0.16983 Ha/atom



Entry 3:
A plane-wave DFT calculation with PBE was carried out for a relaxed structure of PH2RuBr.

a = 3.5892 Å, b = 3.7328 Å, c = 6.5649 Å
α = 91.48°, β = 100.01°, γ = 105.73°
Space group P1 (No. 1)
Unique sites:
P: 0.0000 0.0000 0.0000 (multiplicity 1)
H: 0.3960 0.2003 0.7230 (multiplicity 1)
H: 0.6099 0.3976 0.7123 (multiplicity 1)
Ru: 0.6134 0.3753 0.9716 (multiplicity 1)
Br: 0.9077 0.6885 0.3420 (multiplicity 1)

Results
Polymorph energy (0 for the lowest one): 86 kJ/mol of formula units
ρ: 4.3 g/cm³
Total DFT energy (no corrections): -0.17203 Ha/atom



Entry 4:
A plane-wave DFT calculation with PBE was carried out for a relaxed structure of PH2RuBr.

a = 3.0796 Å, b = 3.0810 Å, c = 7.5834 Å
α = 89.04°, β = 88.57°, γ = 89.73°
Space group P1 (No. 1)
Unique sites:
P: 0.0000 0.0000 0.0000 (multiplicity 1)
H: 0.7487 0.7533 0.4110 (multiplicity 1)
H: 0.9887 0.9913 0.1889 (multiplicity 1)
Ru: 0.5067 0.5028 0.8730 (multiplicity 1)
Br: 0.4493 0.4746 0.5118 (multiplicity 1)

Results
Polymorph energy (0 for the lowest one): 159 kJ/mol of formula units
ρ: 4.9 g/cm³
Total DFT energy (no corrections): -0.16644 Ha/atom



Entry 5:
A plane-wave DFT calculation with PBE was carried out for a relaxed structure of PH2RuBr.

a = 3.6086 Å, b = 3.6089 Å, c = 8.7379 Å
α = 91.04°, β = 100.77°, γ = 119.90°
Space group P1 (No. 1)
Unique sites:
P: 0.0000 0.0000 0.0000 (multiplicity 1)
H: 0.4263 0.2562 0.7030 (multiplicity 1)
H: 0.4546 0.2011 0.6242 (multiplicity 1)
Ru: 0.3931 0.7003 0.0943 (multiplicity 1)
Br: 0.8611 0.4420 0.3067 (multiplicity 1)

Results
Polymorph energy (0 for the lowest one): 53 kJ/mol of formula units
ρ: 3.7 g/cm³
Total DFT energy (no corrections): -0.17449 Ha/atom



Entry 6:
A plane-wave DFT calculation with PBE was carried out for a relaxed structure of PH2RuBr.

a = 3.1426 Å, b = 4.1788 Å, c = 6.3652 Å
α = 84.34°, β = 87.78°, γ = 67.97°
Space group P1 (No. 1)
Unique sites:
P: 0.0000 0.0000 0.0000 (multiplicity 1)
H: 0.0879 0.8543 0.7969 (multiplicity 1)
H: 0.4387 0.0779 0.2883 (multiplicity 1)
Ru: 0.3047 0.3763 0.0974 (multiplicity 1)
Br: 0.7072 0.5232 0.4268 (multiplicity 1)

Results
Polymorph energy (0 for the lowest one): 149 kJ/mol of formula units
ρ: 4.6 g/cm³
Total DFT energy (no corrections): -0.16718 Ha/atom



Entry 7:
A plane-wave DFT calculation with PBE was carried out for a relaxed structure of PH2RuBr.

a = 3.2195 Å, b = 3.4922 Å, c = 6.7426 Å
α = 90.00°, β = 99.56°, γ = 90.00°
Space group Pm (No. 6)
Unique sites:
P: 0.0000 0.0000 0.0000 (multiplicity 1)
H: 0.5079 0.5000 0.9031 (multiplicity 1)
H: 0.6450 0.0000 0.1204 (multiplicity 1)
Ru: 0.9391 0.5000 0.7892 (multiplicity 1)
Br: 0.3558 0.5000 0.4794 (multiplicity 1)

Results
Polymorph energy (0 for the lowest one): 129 kJ/mol of formula units
ρ: 4.8 g/cm³
Total DFT energy (no corrections): -0.16872 Ha/atom



Entry 8:
A plane-wave DFT calculation with PBE was carried out for a relaxed structure of PH2RuBr.

a = 3.3533 Å, b = 3.4506 Å, c = 7.7875 Å
α = 89.71°, β = 83.04°, γ = 61.49°
Space group P1 (No. 1)
Unique sites:
P: 0.0000 0.0000 0.0000 (multiplicity 1)
H: 0.7477 0.5337 0.3622 (multiplicity 1)
H: 0.9869 0.5601 0.3182 (multiplicity 1)
Ru: 0.6170 0.6702 0.1454 (multiplicity 1)
Br: 0.0695 0.9692 0.7127 (multiplicity 1)

Results
Polymorph energy (0 for the lowest one): 96 kJ/mol of formula units
ρ: 4.5 g/cm³
Total DFT energy (no corrections): -0.17121 Ha/atom